Entry 1:
Entry from Alexandria: Sr3In6AgSn2 after structural relaxation (PBE).

Results
DFT total energy	-34.85	eV/f.u.
mass density	5.89	g/cm³
ΔE_f	-0.210	eV/atom
density of states at the Fermi level	9.77	states/eV per cell

a b c (Å): 6.2582 6.2582 10.7846
angles (deg): 90.00 90.00 120.00
Last column: nearest neighbours and their distance in Å.
Atoms (fractional coordinates):
Sr (0.3333, 0.6667, 0.5732)  9 In 3.51-3.65, 3 Ag 3.70
Sr (0.6667, 0.3333, 0.4268)  9 In 3.51-3.65, 3 Ag 3.70
Sr (0.0000, 0.0000, 0.0000)  6 In 3.51, 6 Sn 3.63
In (0.6633, 0.8317, 0.2786)  1 Ag 3.01, 4 In 3.10-3.16, 1 Sn 3.18
In (0.1683, 0.3367, 0.2786)  1 Ag 3.01, 4 In 3.10-3.16, 1 Sn 3.18
In (0.1683, 0.8317, 0.2786)  1 Ag 3.01, 4 In 3.10-3.16, 1 Sn 3.18
In (0.8317, 0.6633, 0.7214)  1 Ag 3.01, 4 In 3.10-3.16, 1 Sn 3.18
In (0.3367, 0.1683, 0.7214)  1 Ag 3.01, 4 In 3.10-3.16, 1 Sn 3.18
In (0.8317, 0.1683, 0.7214)  1 Ag 3.01, 4 In 3.10-3.16, 1 Sn 3.18
Ag (0.0000, 0.0000, 0.5000)  6 In 3.01
Sn (0.6667, 0.3333, 0.9654)  3 In 3.18
Sn (0.3333, 0.6667, 0.0346)  3 In 3.18

=====

Entry 2:
Entry from Alexandria: Sr2InAg3Sn4 after structural relaxation (PBE).

Results
DFT total energy	-34.25	eV/f.u.
mass density	6.76	g/cm³
ΔE_f	-0.358	eV/atom
density of states at the Fermi level	3.72	states/eV per cell

a b c (Å): 4.6284 4.6284 12.4824
angles (deg): 90.00 90.00 90.00
Last column: nearest neighbours and their distance in Å.
Atoms (fractional coordinates):
Sr (0.5000, 0.0000, 0.2469)  6 Ag 3.54-3.92, 8 Sn 3.55-3.85, 2 In 3.92
Sr (0.0000, 0.5000, 0.7531)  6 Ag 3.54-3.92, 8 Sn 3.55-3.85, 2 In 3.92
In (0.5000, 0.5000, 0.5000)  4 Sn 2.92
Ag (0.0000, 0.0000, 0.5000)  4 Sn 2.92
Ag (0.5000, 0.0000, 0.8606)  5 Sn 2.72-2.90
Ag (0.0000, 0.5000, 0.1394)  5 Sn 2.72-2.90
Sn (0.5000, 0.5000, 0.0000)  4 Ag 2.90
Sn (0.0000, 0.0000, 0.0000)  4 Ag 2.90
Sn (0.5000, 0.0000, 0.6428)  3 Ag 2.72-2.92, 2 In 2.92
Sn (0.0000, 0.5000, 0.3572)  3 Ag 2.72-2.92, 2 In 2.92

=====

Question: ΔE_f of number 1 (Sr3In6AgSn2)?
Answer: -0.210 eV/atom

=====

Question: What is the formula in the first record?
Answer: Sr3In6AgSn2

=====

Copy entry 2 word for word.
Entry from Alexandria: Sr2InAg3Sn4 after structural relaxation (PBE).

Results
DFT total energy	-34.25	eV/f.u.
mass density	6.76	g/cm³
ΔE_f	-0.358	eV/atom
density of states at the Fermi level	3.72	states/eV per cell

a b c (Å): 4.6284 4.6284 12.4824
angles (deg): 90.00 90.00 90.00
Last column: nearest neighbours and their distance in Å.
Atoms (fractional coordinates):
Sr (0.5000, 0.0000, 0.2469)  6 Ag 3.54-3.92, 8 Sn 3.55-3.85, 2 In 3.92
Sr (0.0000, 0.5000, 0.7531)  6 Ag 3.54-3.92, 8 Sn 3.55-3.85, 2 In 3.92
In (0.5000, 0.5000, 0.5000)  4 Sn 2.92
Ag (0.0000, 0.0000, 0.5000)  4 Sn 2.92
Ag (0.5000, 0.0000, 0.8606)  5 Sn 2.72-2.90
Ag (0.0000, 0.5000, 0.1394)  5 Sn 2.72-2.90
Sn (0.5000, 0.5000, 0.0000)  4 Ag 2.90
Sn (0.0000, 0.0000, 0.0000)  4 Ag 2.90
Sn (0.5000, 0.0000, 0.6428)  3 Ag 2.72-2.92, 2 In 2.92
Sn (0.0000, 0.5000, 0.3572)  3 Ag 2.72-2.92, 2 In 2.92